VASP calculation (meta-GGA SCAN) on Ba2H2Se at its PBEsol-relaxed geometry.

The structure in POSCAR format:
```
Ba2H2Se
1.0
-2.069 2.069 6.828
2.069 -2.069 6.828
2.069 2.069 -6.828
Ba H Se
2 2 1
Direct
0.133 0.133 0.000
0.867 0.867 0.000
0.250 0.750 0.500
0.750 0.250 0.500
0.500 0.500 0.000
```

As for the total magnetization: 0.00 μB per formula unit. As for the crystal system: tetragonal. Its raw total energy is -22.472 eV/atom. Its space group is No. 139.